Record 1
The following is a DFT calculation (PBE-GGA) of an optimized crystal structure of MgNiAgPt.

abc: 6.2363 6.2363 6.2363
angles: 90.00 90.00 90.00
Space group F-43m (No. 216)
Asymmetric unit:
Mg (0.0000, 0.0000, 0.0000) x4
Ni (0.0000, 0.0000, 0.5000) x4
Ag (0.2500, 0.2500, 0.7500) x4
Pt (0.2500, 0.2500, 0.2500) x4

Summary:
DFT formation energy: -0.241 eV/atom

***

Record 2
The following is a DFT calculation (PBE-GGA) of an optimized crystal structure of Mg2Sc5Ni2Ag.

abc: 11.0102 11.0102 3.3953
angles: 90.00 90.00 90.00
Space group P4/mbm (No. 127)
Asymmetric unit:
Mg (0.1737, 0.3263, 0.0000) x4
Sc (0.0000, 0.5000, 0.5000) x2
Sc (0.0724, 0.7932, 0.5000) x8
Ni (0.1299, 0.6299, 0.0000) x4
Ag (0.0000, 0.0000, 0.0000) x2

Summary:
DFT formation energy: -0.286 eV/atom

***

Record 3
The following is a DFT calculation (PBE-GGA) of an optimized crystal structure of ThMgNiAg.

abc: 6.9407 6.9407 6.9407
angles: 90.00 90.00 90.00
Space group F-43m (No. 216)
Asymmetric unit:
Th (0.0000, 0.0000, 0.0000) x4
Mg (0.0000, 0.0000, 0.5000) x4
Ni (0.2500, 0.2500, 0.2500) x4
Ag (0.2500, 0.2500, 0.7500) x4

Summary:
DFT formation energy: -0.160 eV/atom

***

Record 4
The following is a DFT calculation (PBE-GGA) of an optimized crystal structure of Mg2NpAgO6.

abc: 5.4585 5.4585 14.8325
angles: 90.00 90.00 120.00
Space group R3 (No. 146, hexagonal axes)
Asymmetric unit:
Mg (0.0000, 0.0000, 0.0000) x3
Mg (0.0000, 0.0000, 0.4818) x3
Np (0.0000, 0.0000, 0.6861) x3
Ag (0.0000, 0.0000, 0.2075) x3
O (0.0060, 0.3354, 0.7521) x9
O (0.0283, 0.6198, 0.2645) x9

Summary:
Uncorrected formation energy: -2.185 eV per atom

***

Record 5
The following is a DFT calculation (PBE-GGA) of an optimized crystal structure of MgNpAgO6.

abc: 5.3686 5.3686 9.3459
angles: 90.00 90.00 120.00
Space group P-31c (No. 163)
Asymmetric unit:
Mg (0.0000, 0.0000, 0.0000) x2
Np (0.3333, 0.6667, 0.2500) x2
Ag (0.3333, 0.6667, 0.7500) x2
O (0.0308, 0.3488, 0.1271) x12

Summary:
Uncorrected formation energy: -1.724 eV per atom

***

Record 6
The following is a DFT calculation (PBE-GGA) of an optimized crystal structure of MgNpAg2O6.

abc: 5.4576 5.7414 9.7674
angles: 90.00 123.60 90.00
Space group P2_1/c (No. 14)
Asymmetric unit:
Mg (0.0000, 0.0000, 0.0000) x2
Np (0.5000, 0.0000, 0.5000) x2
Ag (0.2489, 0.0613, 0.7401) x4
O (0.1406, 0.0472, 0.2521) x4
O (0.2705, 0.7049, 0.0593) x4
O (0.3634, 0.2187, 0.0601) x4

Summary:
Uncorrected formation energy: -1.636 eV per atom

***

Record 7
The following is a DFT calculation (PBE-GGA) of an optimized crystal structure of MgNpAg2S4.

abc: 6.5162 3.9644 6.6723
angles: 90.00 109.81 90.00
Space group P2/m (No. 10)
Asymmetric unit:
Mg (0.0000, 0.0000, 0.0000) x1
Np (0.0000, 0.5000, 0.5000) x1
Ag (0.5000, 0.0000, 0.5000) x1
Ag (0.5000, 0.5000, 0.0000) x1
S (0.2309, 0.5000, 0.2360) x2
S (0.2370, 0.0000, 0.7474) x2

Summary:
Uncorrected formation energy: -0.794 eV per atom

***

Record 8
The following is a DFT calculation (PBE-GGA) of an optimized crystal structure of Mg2NpAg3S6.

abc: 6.6405 11.4584 6.5089
angles: 90.00 104.79 90.00
Space group C2/m (No. 12)
Asymmetric unit:
Mg (0.0000, 0.1705, 0.0000) x4
Np (0.0000, 0.5000, 0.0000) x2
Ag (0.0000, 0.0000, 0.5000) x2
Ag (0.0000, 0.3584, 0.5000) x4
S (0.2152, 0.0000, 0.2194) x4
S (0.2233, 0.3318, 0.2313) x8

Summary:
Uncorrected formation energy: -0.772 eV per atom

***

Record 9
The following is a DFT calculation (PBE-GGA) of an optimized crystal structure of MgNpAgSn.

abc: 7.2106 7.2106 7.2106
angles: 90.00 90.00 90.00
Space group F-43m (No. 216)
Asymmetric unit:
Mg (0.0000, 0.0000, 0.0000) x4
Np (0.0000, 0.0000, 0.5000) x4
Ag (0.2500, 0.2500, 0.7500) x4
Sn (0.2500, 0.2500, 0.2500) x4

Summary:
DFT formation energy: 0.038 eV/atom

***

Record 10
The following is a DFT calculation (PBE-GGA) of an optimized crystal structure of Mg3AgO.

abc: 5.0078 5.0078 5.0078
angles: 90.00 90.00 90.00
Space group Pm-3m (No. 221)
Asymmetric unit:
Mg (0.0000, 0.0000, 0.5000) x3
Ag (0.0000, 0.0000, 0.0000) x1
O (0.5000, 0.5000, 0.5000) x1

Summary:
Uncorrected formation energy: 0.392 eV per atom
Offset from the most stable computed form: 1393.9 meV per atom

***

Record 11
The following is a DFT calculation (PBE-GGA) of an optimized crystal structure of Mg2AgO.

abc: 6.1045 6.1045 7.4612
angles: 90.00 90.00 90.00
Space group I-42d (No. 122)
Asymmetric unit:
Mg (0.1395, 0.2500, 0.1250) x8
Ag (0.0000, 0.0000, 0.5000) x4
O (0.0000, 0.0000, 0.0000) x4

Summary:
Uncorrected formation energy: -1.133 eV per atom

***

Record 12
The following is a DFT calculation (PBE-GGA) of an optimized crystal structure of MgAg2O4.

abc: 3.2869 7.7622 8.0364
angles: 77.81 82.64 78.18
Space group P-1 (No. 2)
Asymmetric unit:
Mg (0.0056, 0.1904, 0.1919) x2
Ag (0.2448, 0.1837, 0.5329) x2
Ag (0.2860, 0.5409, 0.1765) x2
O (0.0496, 0.6193, 0.6479) x2
O (0.1398, 0.7682, 0.2624) x2
O (0.4665, 0.9329, 0.6759) x2
O (0.4863, 0.3176, 0.0557) x2

Summary:
Uncorrected formation energy: -0.605 eV per atom
Offset from the most stable computed form: 91.1 meV per atom

***

Number 1: size of the total moment 0.00 μB/atom. Number 2: size of the total moment 0.00 μB/atom. Number 3: size of the total moment 0.00 μB/atom. Number 4: size of the total moment 0.00 μB/atom. Number 5: size of the total moment 0.23 μB/atom. Number 6: size of the total moment 0.00 μB/atom. Number 7: size of the total moment 0.38 μB/atom. Number 8: size of the total moment 0.17 μB/atom. Number 9: size of the total moment 1.08 μB/atom. Number 10: size of the total moment 0.00 μB/atom. Number 11: size of the total moment 0.00 μB/atom. Number 12: size of the total moment 0.00 μB/atom.